[1]
Computed, not measured: a relaxed structure of NaBPb at the GGA-PBE level of DFT.

```
NaBPb
1.0
-4.012 -0.183 0.671
1.981 -3.269 -1.404
1.594 -2.799 8.763
Pb B Na
2 2 2
Direct
0.000 0.000 0.772
0.000 0.000 0.228
0.333 0.667 0.087
0.333 0.667 0.913
0.667 0.333 0.500
0.667 0.333 0.000
```

Spin magnetization   0.000 μB per atom
Formation energy   0.4733 eV per atom
SG   P-6m2

***

[2]
Computed, not measured: a relaxed structure of Y2ZnIr at the GGA-PBE level of DFT.

```
Y2ZnIr
1.0
6.252 0.093 0.005
5.267 3.370 0.005
1.802 0.542 4.370
Y Ir Zn
2 1 1
Direct
0.958 0.958 0.042
0.746 0.746 0.754
0.242 0.242 0.259
0.555 0.555 0.445
```

Spin magnetization   0.000 μB per atom
Formation energy   -0.4525 eV per atom
SG   Imm2

***

[3]
Computed, not measured: a relaxed structure of SrCd2Pt at the GGA-PBE level of DFT.

```
SrCd2Pt
1.0
-1.332 4.063 -3.954
-7.891 -0.425 2.221
2.536 11.798 11.269
Pt Sr Cd
8 8 16
Direct
0.470 0.750 0.431
0.030 0.750 0.931
0.768 0.750 0.686
0.970 0.250 0.069
0.268 0.250 0.814
0.232 0.250 0.314
0.732 0.750 0.186
0.530 0.250 0.569
0.753 0.250 0.895
0.253 0.750 0.605
0.958 0.750 0.362
0.042 0.250 0.638
0.247 0.750 0.105
0.458 0.250 0.138
0.542 0.750 0.862
0.747 0.250 0.395
0.954 0.447 0.212
0.046 0.553 0.788
0.546 0.447 0.712
0.253 0.057 0.461
0.247 0.443 0.961
0.454 0.947 0.288
0.253 0.443 0.461
0.454 0.553 0.288
0.747 0.943 0.539
0.247 0.057 0.961
0.046 0.947 0.788
0.747 0.557 0.539
0.954 0.053 0.212
0.546 0.053 0.712
0.753 0.557 0.039
0.753 0.943 0.039
```

Spin magnetization   0.000 μB per atom
Formation energy   -0.5498 eV per atom
SG   Pnma

***

[4]
Computed, not measured: a relaxed structure of LiDy2Ag3 at the GGA-PBE level of DFT.

```
LiDy2Ag3
1.0
5.017 0.000 0.000
-2.509 4.345 0.000
0.000 0.000 12.169
Li Ag Dy
2 6 4
Direct
0.333 0.667 0.668
0.667 0.333 0.332
0.667 0.333 0.571
0.333 0.667 0.917
0.333 0.667 0.429
0.000 0.000 0.252
0.000 0.000 0.748
0.667 0.333 0.083
0.000 0.000 0.000
0.000 0.000 0.500
0.333 0.667 0.179
0.667 0.333 0.821
```

Spin magnetization   0.000 μB per atom
Formation energy   -0.2385 eV per atom
SG   P-3m1

***

[5]
Computed, not measured: a relaxed structure of Fe4SnRh2 at the GGA-PBE level of DFT.

```
Fe4SnRh2
1.0
-3.543 -1.969 -2.246
2.944 -2.893 -2.108
-0.984 -6.534 2.498
Rh Fe Sn
2 4 1
Direct
0.393 0.393 0.215
0.607 0.607 0.785
0.207 0.207 0.586
0.500 0.000 0.000
0.000 0.500 0.000
0.793 0.793 0.414
0.000 0.000 0.000
```

Spin magnetization   1.850 μB per atom
Formation energy   1.1836 eV per atom
SG   I4/mmm

***

[6]
Computed, not measured: a relaxed structure of Sr3CaRh at the GGA-PBE level of DFT.

```
Sr3CaRh
1.0
8.100 -0.041 -0.006
3.736 7.161 -0.010
0.131 0.057 7.219
Sr Rh Ca
6 2 2
Direct
0.377 0.409 0.030
0.389 0.889 0.870
0.130 0.135 0.363
0.634 0.132 0.534
0.626 0.641 0.370
0.891 0.894 0.023
0.253 0.766 0.208
0.766 0.760 0.697
0.883 0.414 0.854
0.117 0.648 0.521
```

Spin magnetization   0.000 μB per atom
Formation energy   -0.1887 eV per atom
SG   P1

***

[7]
Computed, not measured: a relaxed structure of LaHo2Be at the GGA-PBE level of DFT.

```
LaHo2Be
1.0
3.482 0.000 0.000
1.741 3.016 0.000
1.741 1.005 11.405
La Ho Be
1 2 1
Direct
0.500 0.500 0.500
0.083 0.083 0.751
0.917 0.917 0.249
0.000 0.000 0.000
```

Spin magnetization   0.000 μB per atom
Formation energy   0.7096 eV per atom
SG   R-3m

***

[8]
Computed, not measured: a relaxed structure of LaSiSbTe2 at the GGA-PBE level of DFT.

```
LaSiSbTe2
1.0
-3.564 -0.647 -3.917
0.046 -5.270 0.828
-3.910 0.511 3.473
Sb Te La Si
1 2 1 1
Direct
0.000 0.000 0.500
0.000 0.500 0.000
0.500 0.000 0.000
0.500 0.500 0.500
0.000 0.000 0.000
```

Spin magnetization   0.000 μB per atom
E_form (uncorrected)   -0.2890 eV per atom
SG   P4/mmm

***

[9]
Computed, not measured: a relaxed structure of V2ReW6 at the GGA-PBE level of DFT.

```
V2ReW6
1.0
-2.123 -2.974 2.595
5.252 1.235 5.712
-4.577 5.838 2.947
W Re V
12 2 4
Direct
0.000 0.665 0.902
0.500 0.165 0.598
0.500 0.499 0.331
0.000 0.335 0.098
0.000 0.335 0.433
0.500 0.835 0.402
0.500 0.501 0.669
0.500 0.835 0.067
0.000 0.665 0.567
0.000 0.999 0.169
0.000 0.001 0.831
0.500 0.165 0.933
0.000 0.000 0.500
0.500 0.500 0.000
0.500 0.837 0.733
0.000 0.663 0.233
0.500 0.163 0.267
0.000 0.337 0.767
```

Spin magnetization   0.000 μB per atom
Formation energy   0.0542 eV per atom
SG   Pnnm

***

[10]
Computed, not measured: a relaxed structure of Pm19Ho6Tm4 at the GGA-PBE level of DFT.

```
Pm19Ho6Tm4
1.0
-0.430 8.837 6.383
-7.676 0.714 -7.720
-1.725 -8.928 6.028
Pm Tm Ho
19 4 6
Direct
0.199 0.218 0.542
0.782 0.981 0.325
0.218 0.542 0.199
0.675 0.656 0.458
0.344 0.019 0.801
0.801 0.344 0.019
0.260 0.000 0.260
0.542 0.199 0.218
0.740 0.740 0.000
0.325 0.782 0.981
0.260 0.260 0.000
0.740 0.000 0.740
0.000 0.260 0.260
0.656 0.458 0.675
0.000 0.740 0.740
0.981 0.325 0.782
0.458 0.675 0.656
0.000 0.000 0.000
0.019 0.801 0.344
0.359 0.359 0.359
0.641 0.000 0.000
0.000 0.000 0.641
0.000 0.641 0.000
0.626 0.500 0.126
0.500 0.874 0.374
0.500 0.126 0.626
0.374 0.500 0.874
0.126 0.626 0.500
0.874 0.374 0.500
```

Spin magnetization   0.000 μB per atom
Formation energy   0.3666 eV per atom
SG   I23

***

[11]
Computed, not measured: a relaxed structure of SiTe3I at the GGA-PBE level of DFT.

```
SiTe3I
1.0
6.728 0.000 0.000
0.000 8.266 -0.001
0.000 0.002 6.237
Te Si I
6 2 2
Direct
0.436 0.842 0.449
0.441 0.376 0.201
0.936 0.510 0.453
0.936 0.510 0.948
0.436 0.842 0.953
0.941 0.977 0.700
0.143 0.716 0.701
0.643 0.637 0.201
0.922 0.976 0.200
0.422 0.377 0.701
```

Spin magnetization   0.000 μB per atom
E_form (uncorrected)   0.1167 eV per atom
SG   Pmn2_1

***

[12]
Computed, not measured: a relaxed structure of Sr2TaInRu at the GGA-PBE level of DFT.

```
Sr2TaInRu
1.0
-4.196 -3.523 -2.474
3.520 -2.875 -1.877
-0.102 -3.373 4.975
Ta Ru Sr In
1 1 2 1
Direct
0.500 0.500 0.500
0.000 0.500 0.000
0.000 0.000 0.500
0.500 0.000 0.000
0.000 0.000 0.000
```

Spin magnetization   0.640 μB per atom
Formation energy   1.4823 eV per atom
SG   P4/mmm

***

- The highest spin magnetization belongs to which entry?
  Fe4SnRh2

***

- What is the formula in the sixth record?
  Sr3CaRh

***

- What is the formula in the second record?
  Y2ZnIr

***

- Number 4 is which compound?
  LiDy2Ag3